P.
Material: MoAsPb
Method: DFT, PBE-GGA
State: relaxed

Cell: 4.7940 4.7940 4.7940 Å, 60.00 60.00 60.00°
With the nearest neighbours (Å) after each atom.
Element x y z (fractional)
Mo  0.7500  0.7500  0.7500  4 Pb 2.94
Pb  0.0000  0.0000  0.0000  4 Mo 2.94, 4 As 2.94
As  0.2500  0.2500  0.2500  4 Pb 2.94

Summary:
Total magnetization   3.0 μB/f.u.
SG   No. 216

=====

Q.
Material: MoAsPb
Method: DFT, PBE-GGA
State: relaxed

Cell: 4.8654 4.8654 9.8387 Å, 90.00 90.00 120.00°
With the nearest neighbours (Å) after each atom.
Element x y z (fractional)
As  0.3333  0.6667  0.0000  6 Mo 3.01
Pb  0.0000  0.0000  0.1950  4 Mo 2.93-3.00
Pb  0.6667  0.3333  0.5000  3 Mo 2.81, 6 As 3.07
Pb  0.0000  0.0000  0.8050  4 Mo 2.93-3.00
As  0.3333  0.6667  0.6256  1 As 2.47
Mo  0.6667  0.3333  0.1089  1 Mo 2.14
Mo  0.0000  0.0000  0.5000  5 Pb 2.81-3.00, 6 As 3.07
Mo  0.6667  0.3333  0.8911  1 Mo 2.14
As  0.3333  0.6667  0.3744  1 As 2.47

Summary:
Total magnetization   0.0 μB/f.u.
SG   No. 187

=====

The computed energies, referenced to the most stable structure and given in meV/atom, are P 607; Q 0.

=====

P.
Material: PmMoAs
Method: DFT, PBE-GGA
State: relaxed

Cell: 4.8551 4.8551 4.8551 Å, 60.00 60.00 60.00°
With the nearest neighbours (Å) after each atom.
Element x y z (fractional)
Mo  0.7500  0.7500  0.7500  4 Pm 2.97
As  0.2500  0.2500  0.2500  4 Pm 2.97
Pm  0.0000  0.0000  0.0000  4 As 2.97, 4 Mo 2.97

Summary:
Total magnetization   3.6 μB/f.u.
SG   No. 216

=====

Q.
Material: PmMoAs
Method: DFT, PBE-GGA
State: relaxed

Cell: 4.5847 4.5847 4.5847 Å, 60.00 60.00 60.00°
With the nearest neighbours (Å) after each atom.
Element x y z (fractional)
As  0.0000  0.0000  0.0000  4 Mo 2.81, 4 Pm 2.81
Mo  0.2500  0.2500  0.2500  4 As 2.81
Pm  0.7500  0.7500  0.7500  4 As 2.81

Summary:
Total magnetization   0.0 μB/f.u.
SG   No. 216

=====

The computed energies, referenced to the most stable structure and given in meV/atom, are P 924; Q 0.

=====

P.
Material: AsOsNO
Method: DFT, PBE-GGA
State: relaxed

Cell: 4.2080 4.2080 5.2069 Å, 90.00 90.00 89.98°
With the nearest neighbours (Å) after each atom.
Element x y z (fractional)
O  0.2500  0.7500  0.0000  4 Os 2.12
As  0.2500  0.7500  0.5000  4 N 2.31
Os  0.2500  0.2500  0.0553  1 N 1.94, 4 O 2.12
Os  0.7500  0.7500  0.9447  1 N 1.94, 4 O 2.12
N  0.7500  0.7500  0.3181  1 Os 1.94
N  0.2500  0.2500  0.6819  1 Os 1.94
O  0.7500  0.2500  0.0000  4 Os 2.12
As  0.7500  0.2500  0.5000  4 N 2.31

Summary:
Total magnetization   0.0 μB/f.u.
SG   No. 129

=====

Q.
Material: AsOsNO
Method: DFT, PBE-GGA
State: relaxed

Cell: 5.0393 5.8838 7.2830 Å, 90.00 90.00 90.00°
With the nearest neighbours (Å) after each atom.
Element x y z (fractional)
N  0.1217  0.8614  0.8608  1 As 1.93, 3 Os 1.98-2.04
As  0.4554  0.4231  0.6982  1 O 1.80, 1 N 1.93
N  0.6217  0.6386  0.8608  1 As 1.93, 3 Os 1.98-2.04
Os  0.9988  0.0453  0.0719  3 N 1.98-2.04, 1 O 2.09
Os  0.4988  0.9547  0.9281  3 N 1.98-2.04, 1 O 2.09
As  0.9554  0.0769  0.6982  1 O 1.80, 1 N 1.93
N  0.6217  0.1386  0.1392  1 As 1.93, 3 Os 1.98-2.04
N  0.1217  0.3614  0.1392  1 As 1.93, 3 Os 1.98-2.04
O  0.1265  0.0286  0.3449  1 As 1.80
Os  0.4988  0.4547  0.0719  3 N 1.98-2.04, 1 O 2.09
Os  0.9988  0.5453  0.9281  3 N 1.98-2.04, 1 O 2.09
As  0.9554  0.5769  0.3018  1 O 1.80, 1 N 1.93
O  0.1265  0.5286  0.6551  1 As 1.80
O  0.6265  0.4714  0.3449  1 As 1.80
O  0.6265  0.9714  0.6551  1 As 1.80
As  0.4554  0.9231  0.3018  1 O 1.80, 1 N 1.93

Summary:
Total magnetization   0.0 μB/f.u.
SG   No. 29

=====

R.
Material: AsOsNO
Method: DFT, PBE-GGA
State: relaxed

Cell: 3.7846 3.7846 6.8943 Å, 90.00 90.00 90.00°
With the nearest neighbours (Å) after each atom.
Element x y z (fractional)
Os  0.7500  0.2500  0.5000  4 N 2.09
Os  0.2500  0.7500  0.5000  4 N 2.09
O  0.2500  0.7500  0.0000  4 As 2.14
N  0.2500  0.2500  0.6304  4 Os 2.09
N  0.7500  0.7500  0.3696  4 Os 2.09
O  0.7500  0.2500  0.0000  4 As 2.14
As  0.2500  0.2500  0.1455  4 O 2.14
As  0.7500  0.7500  0.8545  4 O 2.14

Summary:
Total magnetization   0.0 μB/f.u.
SG   No. 129

=====

The computed energies, referenced to the most stable structure and given in meV/atom, are P 767; Q 0; R 275.